The following is a DFT calculation (PBEsol) of a geometry-optimized CaScP2Cl structure.

Properties
Formation energy without anion corrections (eV per atom): 0.027
Total magnetization (μB/f.u.): 0.0

Cell: 5.0590 5.0590 4.8745 Å, 90.00 90.00 90.00°
With the nearest neighbours (Å) after each atom.
Space group P4/mmm (No. 123)
Asymmetric unit:
Ca1 0.0000 0.0000 0.0000 x1  2 Cl 2.44, 4 P 2.53
Sc1 0.5000 0.5000 0.5000 x1  8 P 3.51, 4 Cl 3.58
P1 0.0000 0.5000 0.0000 x2  2 Ca 2.53
Cl1 0.0000 0.0000 0.5000 x1  2 Ca 2.44